Compound: MnP2O6
Source: Alexandria via LeMat-Bulk
Functional: PBE+U
Structure: optimized geometry

Computed properties:
- D(E_F) (states/eV per cell) = 0.0
- crystal system = monoclinic
- E above lowest polymorph (eV per atom) = 0.009
- total energy (eV/atom) = -7.460
- space-group type = C2/c

a b c (Å): 5.0359 6.8806 6.8806
angles (deg): 85.41 77.52 77.52
Closest atoms and distances in Å follow each position.
Atoms (fractional coordinates):
Mn 0.2500 0.8767 0.1233  6 O 2.11-2.34
Mn 0.7500 0.1233 0.8767  6 O 2.11-2.34
P 0.2395 0.3722 0.1994  4 O 1.49-1.62
P 0.7395 0.1994 0.3722  4 O 1.49-1.62
P 0.2605 0.8006 0.6278  4 O 1.49-1.62
P 0.7605 0.6278 0.8006  4 O 1.49-1.62
O 0.3334 0.1999 0.0594  1 P 1.52
O 0.8334 0.0594 0.1999  1 P 1.52
O 0.1666 0.9406 0.8001  1 P 1.52
O 0.6666 0.8001 0.9406  1 P 1.52
O 0.1977 0.5808 0.1161  1 P 1.49
O 0.6977 0.1161 0.5808  1 P 1.49
O 0.3023 0.8839 0.4192  1 P 1.49
O 0.8023 0.4192 0.8839  1 P 1.49
O 0.4565 0.3517 0.3463  2 P 1.61-1.62
O 0.9565 0.3463 0.3517  2 P 1.61-1.62
O 0.0435 0.6537 0.6483  2 P 1.61-1.62
O 0.5435 0.6483 0.6537  2 P 1.61-1.62